The following is a GGA-PBE calculation of an optimized crystal structure of Li2Ca2IO6, from Alexandria via LeMat-Bulk.

Cell lengths 5.8480, 10.1732, 5.3161 Å; angles 90.00, 103.13, 90.00 degrees
With the nearest neighbours (Å) after each atom.
Space group C2/m (No. 12)
One atom of each set of equivalent atoms:
Li 0.0000 0.1259 0.0000  4 O 2.04-2.15
Ca 0.0000 0.3360 0.5000  6 O 2.36-2.43
I 0.0000 0.0000 0.5000  6 O 2.01-2.04
O 0.1818 0.1474 0.7166  1 I 2.04, 1 Li 2.04
O 0.2290 0.0000 0.2694  1 I 2.01, 2 Li 2.15

ΔE_f (raw) = -1750 meV per atom
E = -5.308 eV/atom
V = 154 Å³/f.u.

***

The following is a GGA-PBE calculation of an optimized crystal structure of Li3Ca2IO6, from Alexandria via LeMat-Bulk.

Cell lengths 5.6894, 10.2183, 5.3795 Å; angles 90.00, 108.32, 90.00 degrees
With the nearest neighbours (Å) after each atom.
Space group C2/m (No. 12)
One atom of each set of equivalent atoms:
Li 0.0000 0.0000 0.0000  6 O 2.32-2.34
Li 0.0000 0.3679 0.0000  4 O 2.10-2.16
Ca 0.0000 0.1692 0.5000  6 O 2.35-2.38
I 0.0000 0.5000 0.5000  6 O 2.13-2.14
O 0.2206 0.3510 0.7406  1 I 2.13, 2 Li 2.16-2.32, 2 Ca 2.35-2.38
O 0.2377 0.5000 0.2596  3 Li 2.10-2.34, 1 I 2.14

ΔE_f (raw) = -1817 meV per atom
E = -5.237 eV/atom
V = 148 Å³/f.u.

***

The following is a GGA-PBE calculation of an optimized crystal structure of Li2CaIO6, from Alexandria via LeMat-Bulk.

Cell lengths 5.2454, 5.2454, 15.8495 Å; angles 90.00, 90.00, 120.00 degrees
With the nearest neighbours (Å) after each atom.
Space group R-3 (No. 148, hexagonal axes)
One atom of each set of equivalent atoms:
Li 0.0000 0.0000 0.1942  3 O 2.02
Ca 0.0000 0.0000 0.0000  6 O 2.38
I 0.0000 0.0000 0.5000  6 O 1.89
O 0.0189 0.3075 0.5671  1 I 1.89, 1 Li 2.02

ΔE_f (raw) = -1397 meV per atom
E = -5.110 eV/atom
V = 126 Å³/f.u.

***

The following is a GGA-PBE calculation of an optimized crystal structure of LiCaIO2, from Alexandria via LeMat-Bulk.

Cell lengths 4.3940, 4.3940, 6.6275 Å; angles 90.00, 90.00, 90.00 degrees
With the nearest neighbours (Å) after each atom.
Space group P4/mmm (No. 123)
One atom of each set of equivalent atoms:
Li 0.0000 0.0000 0.0000  4 I 3.11
Ca 0.5000 0.5000 0.5000  4 O 2.20
I 0.5000 0.5000 0.0000  4 Li 3.11, 2 Ca 3.31
O 0.0000 0.5000 0.5000  2 Ca 2.20

energy relative to the lowest polymorph listed for this composition = 0 meV/atom
ΔE_f (raw) = -879 meV per atom
E = -3.956 eV/atom
V = 128 Å³/f.u.